(1)
CdCuHN2, relaxed, DFT PBE; total magnetization = 2.0 Bohr magnetons per cell; space-group type = No. 123; raw total energy = -3.411 eV/atom; DOS at the Fermi energy = 0.29 states/eV per atom
1.0
3.592 0.000 0.000
0.000 5.606 0.000
0.000 0.000 3.592
Cu Cd N H
1 1 2 1
Direct
0.000 0.000 0.000
0.000 0.500 0.000
0.500 0.000 0.000
0.000 0.000 0.500
0.500 0.500 0.500

(2)
Na2CdCuH6, relaxed, DFT PBE; total magnetization = 0.0 Bohr magnetons per cell; space-group type = No. 12; raw total energy = -2.755 eV/atom; DOS at the Fermi energy = 0.13 states/eV per atom
1.0
-2.868 -4.191 -1.419
0.761 -2.094 4.780
-4.152 -1.455 2.923
H Na Cd Cu
6 2 1 1
Direct
0.269 0.731 0.000
0.731 0.731 0.000
0.269 0.269 0.000
0.731 0.731 0.539
0.269 0.269 0.461
0.731 0.269 0.000
0.250 0.750 0.500
0.750 0.250 0.500
0.000 0.000 0.000
0.500 0.500 0.000

(3)
Na2CdCu2H6, relaxed, DFT PBE; total magnetization = 0.0 Bohr magnetons per cell; space-group type = No. 12; raw total energy = -2.853 eV/atom; DOS at the Fermi energy = 0.01 states/eV per atom
1.0
-2.668 3.587 -2.935
2.509 -4.024 -2.326
-5.063 -1.613 2.631
H Na Cd Cu
6 2 1 2
Direct
0.248 0.496 0.376
0.793 0.101 0.801
0.752 0.504 0.624
0.309 0.101 0.801
0.691 0.899 0.199
0.207 0.899 0.199
0.708 0.416 0.182
0.292 0.584 0.818
0.500 0.000 0.500
0.952 0.903 0.752
0.048 0.097 0.248

(4)
Na2CdCuH, relaxed, DFT PBE; total magnetization = 0.0 Bohr magnetons per cell; space-group type = No. 123; raw total energy = -1.710 eV/atom; DOS at the Fermi energy = 0.30 states/eV per atom
1.0
-1.277 4.316 3.714
-2.511 1.304 -2.379
-4.088 -3.344 2.482
H Na Cu Cd
1 2 1 1
Direct
0.000 0.500 0.000
0.500 0.000 0.000
0.000 0.000 0.500
0.500 0.500 0.500
0.000 0.000 0.000

(5)
CdCuNi2H, relaxed, DFT PBE; excess energy over the best structure of this formula in the dataset = 120 meV per atom; total magnetization = 0.0 Bohr magnetons per cell; space-group type = No. 123; DOS at the Fermi energy = 0.28 states/eV per atom
1.0
3.679 0.000 0.000
0.000 3.679 0.000
0.000 0.000 4.146
Cu Cd Ni H
1 1 2 1
Direct
0.500 0.500 0.500
0.000 0.000 0.500
0.500 0.000 0.000
0.000 0.500 0.000
0.000 0.000 0.000

(6)
CdCuNi2H, relaxed, DFT PBE; excess energy over the best structure of this formula in the dataset = 0 meV per atom; total magnetization = 0.0 Bohr magnetons per cell; space-group type = No. 123; DOS at the Fermi energy = 0.29 states/eV per atom
1.0
3.788 0.000 0.000
0.000 3.788 0.000
0.000 0.000 3.828
Cd Cu Ni H
1 1 2 1
Direct
0.500 0.500 0.500
0.000 0.000 0.500
0.500 0.000 0.000
0.000 0.500 0.000
0.000 0.000 0.000